## Ca3Hg5I12 (PBE)

Data for an optimized crystal structure of Ca3Hg5I12.

Computed properties:
**Volume**: 3392 Å³ per cell
**M_tot**: 0.0 Bohr magnetons per cell
**E_form (uncorrected)**: -12.59 eV/f.u.

Unit cell a=16.3939 b=16.3939 c=16.3939 alpha=109.47 beta=109.47 gamma=109.47
Fractional positions:
Ca 0.7500 0.3750 0.1250
Ca 0.8750 0.7500 0.1250
Ca 0.3750 0.7500 0.6250
Ca 0.2500 0.1250 0.3750
Ca 0.8750 0.1250 0.2500
Ca 0.3750 0.6250 0.2500
Ca 0.6250 0.3750 0.7500
Ca 0.1250 0.8750 0.7500
Ca 0.7500 0.8750 0.6250
Ca 0.6250 0.2500 0.3750
Ca 0.1250 0.2500 0.8750
Ca 0.2500 0.6250 0.8750
Hg 0.1250 0.3750 0.2500
Hg 0.0000 0.5000 0.0000
Hg 0.0000 0.0000 0.0000
Hg 0.3750 0.2500 0.1250
Hg 0.5000 0.0000 0.5000
Hg 0.5000 0.5000 0.0000
Hg 0.1250 0.7500 0.3750
Hg 0.7500 0.1250 0.8750
Hg 0.7500 0.6250 0.3750
Hg 0.3750 0.1250 0.7500
Hg 0.6250 0.8750 0.2500
Hg 0.5000 0.5000 0.5000
Hg 0.5000 0.0000 0.0000
Hg 0.0000 0.0000 0.5000
Hg 0.2500 0.3750 0.6250
Hg 0.2500 0.8750 0.1250
Hg 0.0000 0.5000 0.5000
Hg 0.8750 0.2500 0.6250
Hg 0.6250 0.7500 0.8750
Hg 0.8750 0.6250 0.7500
I 0.7268 0.1365 0.0465
I 0.3197 0.5465 0.4099
I 0.9535 0.3635 0.2732
I 0.5465 0.2268 0.1365
I 0.5902 0.7268 0.6803
I 0.9535 0.5901 0.1803
I 0.3197 0.7732 0.4098
I 0.0901 0.9098 0.1365
I 0.5901 0.9535 0.6803
I 0.7268 0.5902 0.1803
I 0.7732 0.4535 0.3635
I 0.8197 0.9099 0.0465
I 0.1365 0.7268 0.5465
I 0.3635 0.4099 0.0902
I 0.0902 0.9099 0.3635
I 0.4098 0.1365 0.5901
I 0.0902 0.1803 0.2268
I 0.4535 0.6803 0.0901
I 0.8197 0.9098 0.2732
I 0.1365 0.4098 0.0901
I 0.3635 0.9535 0.7732
I 0.5901 0.6365 0.4098
I 0.9099 0.8197 0.5465
I 0.7732 0.3197 0.9098
I 0.4099 0.3635 0.5902
I 0.0901 0.1803 0.4535
I 0.2268 0.6803 0.0902
I 0.1803 0.0902 0.7268
I 0.6365 0.0465 0.2268
I 0.8635 0.5902 0.9099
I 0.5465 0.3197 0.9099
I 0.5902 0.8635 0.4099
I 0.9098 0.8197 0.7732
I 0.9098 0.0901 0.6365
I 0.8635 0.2732 0.4535
I 0.1803 0.0901 0.9535
I 0.6365 0.5901 0.9098
I 0.4099 0.0465 0.3197
I 0.2732 0.4098 0.8197
I 0.2268 0.5465 0.6365
I 0.9099 0.0902 0.8635
I 0.6803 0.2268 0.5902
I 0.4535 0.7732 0.8635
I 0.0465 0.4099 0.8197
I 0.4098 0.2732 0.3197
I 0.0465 0.6365 0.7268
I 0.6803 0.4535 0.5901
I 0.2732 0.8635 0.9535